[1]
A plane-wave DFT calculation with GGA-PBE was carried out for Tc2AsW after structural relaxation.

Cell and atoms, written as POSCAR:
```
Tc2AsW
1.0
3.0283 0.0000 0.0000
0.0000 4.5996 0.0000
0.0000 0.0000 4.3419
As Tc W
1 2 1
Direct
0.0000 0.5000 0.5000
0.0000 0.0000 0.0000
0.5000 0.5000 0.0000
0.5000 0.0000 0.5000
```

## Properties
Formation enthalpy at 0 K ... 245.9 meV per atom

***

[2]
A plane-wave DFT calculation with GGA-PBE was carried out for Hg2TeRh after structural relaxation.

Cell and atoms, written as POSCAR:
```
Hg2TeRh
1.0
3.2476 0.0000 0.0000
0.0000 3.2476 0.0000
0.0000 0.0000 8.9020
Hg Te Rh
2 1 1
Direct
0.0000 0.0000 0.0170
0.5000 0.5000 0.2872
0.5000 0.5000 0.6763
0.0000 0.0000 0.5195
```

***

[3]
A plane-wave DFT calculation with GGA-PBE was carried out for Hf2Tc2Ir after structural relaxation.

Cell and atoms, written as POSCAR:
```
Hf2Tc2Ir
1.0
-1.9522 5.9559 2.2821
-3.9888 0.7222 -5.2971
-3.0295 -1.7744 2.0394
Ir Hf Tc
2 4 4
Direct
0.0000 0.0000 0.0000
0.5000 0.5000 0.0000
0.1812 0.6812 0.5000
0.6812 0.8188 0.5000
0.8188 0.3188 0.5000
0.3188 0.1812 0.5000
0.3765 0.8765 0.0000
0.8765 0.6235 0.0000
0.6235 0.1235 0.0000
0.1235 0.3765 0.0000
```

## Properties
Formation enthalpy at 0 K ... -209.2 meV per atom

***

[4]
A plane-wave DFT calculation with GGA-PBE was carried out for Tm5Al2 after structural relaxation.

Cell and atoms, written as POSCAR:
```
Tm5Al2
1.0
5.1970 0.0000 0.0000
0.0000 8.9920 -0.0848
-2.5985 -1.4206 7.6893
Tm Al
10 4
Direct
0.3785 0.4594 0.2572
0.1213 0.0406 0.7428
0.0221 0.6739 0.5435
0.4786 0.8261 0.4565
0.9779 0.3261 0.4565
0.5214 0.1739 0.5435
0.8787 0.9594 0.2572
0.6215 0.5406 0.7428
0.7500 0.2500 0.0000
0.2500 0.7500 0.0000
0.1736 0.3915 0.8470
0.3266 0.1085 0.1530
0.8264 0.6085 0.1530
0.6734 0.8915 0.8470
```

## Properties
Formation enthalpy at 0 K ... -206.4 meV per atom

***

[5]
A plane-wave DFT calculation with GGA-PBE was carried out for LuMn4Nb after structural relaxation.

Cell and atoms, written as POSCAR:
```
LuMn4Nb
1.0
4.9367 0.0000 0.0000
2.4684 4.2753 0.0000
2.4684 1.4251 4.0308
Nb Lu Mn
1 1 4
Direct
0.2500 0.2500 0.2500
0.0000 0.0000 0.0000
0.6247 0.6247 0.1260
0.6247 0.1260 0.6247
0.6247 0.6247 0.6247
0.1260 0.6247 0.6247
```

## Properties
Formation enthalpy at 0 K ... -54.0 meV per atom

***

[6]
A plane-wave DFT calculation with GGA-PBE was carried out for PmErMgRu after structural relaxation.

Cell and atoms, written as POSCAR:
```
PmErMgRu
1.0
-2.5384 4.1892 -1.2832
-2.2409 0.3148 -4.5298
-5.0512 -0.1042 -0.3386
Ru Mg Pm Er
1 1 1 1
Direct
0.7500 0.7500 0.7500
0.2500 0.2500 0.2500
0.5000 0.5000 0.5000
0.0000 0.0000 0.0000
```

## Properties
Formation enthalpy at 0 K ... -152.0 meV per atom

***

[7]
A plane-wave DFT calculation with GGA-PBE was carried out for Li3SbP after structural relaxation.

Cell and atoms, written as POSCAR:
```
Li3SbP
1.0
5.0041 0.0000 0.0000
0.0000 8.2715 -0.4970
0.0000 -0.2164 9.0931
Li Sb P
12 4 4
Direct
0.8776 0.0082 0.3513
0.1224 0.9918 0.6487
0.3776 0.9918 0.1487
0.6224 0.0082 0.8513
0.4886 0.2913 0.3876
0.5114 0.7087 0.6124
0.9886 0.7087 0.1124
0.0114 0.2913 0.8876
0.9679 0.3126 0.5506
0.0321 0.6874 0.4494
0.4679 0.6874 0.9494
0.5321 0.3126 0.0506
0.0268 0.3302 0.2102
0.9732 0.6698 0.7898
0.5268 0.6698 0.2898
0.4732 0.3302 0.7102
0.6432 0.0473 0.5897
0.3568 0.9527 0.4103
0.1432 0.9527 0.9103
0.8568 0.0473 0.0897
```

***

[8]
A plane-wave DFT calculation with GGA-PBE was carried out for CsMnTe2 after structural relaxation.

Cell and atoms, written as POSCAR:
```
CsMnTe2
1.0
-6.3816 -1.7851 6.2982
-1.2183 -3.9425 -0.9270
3.4921 0.6463 2.2966
Cs Te Mn
1 2 1
Direct
0.5000 0.5000 0.5000
0.8332 0.7221 0.2779
0.1668 0.2779 0.7221
0.0000 0.0000 0.0000
```

***

[9]
A plane-wave DFT calculation with GGA-PBE was carried out for V2Os after structural relaxation.

Cell and atoms, written as POSCAR:
```
V2Os
1.0
-4.6403 1.8402 3.0249
-2.3526 -0.3976 -3.3671
-0.8538 -3.8885 1.0558
V Os
4 2
Direct
0.2503 0.0000 0.5000
0.7497 0.0000 0.5000
0.7503 0.5000 0.0000
0.2497 0.5000 0.0000
0.0000 0.0000 0.0000
0.5000 0.5000 0.5000
```

## Properties
Formation enthalpy at 0 K ... 293.9 meV per atom

***

[10]
A plane-wave DFT calculation with GGA-PBE was carried out for TeIr2Br after structural relaxation.

Cell and atoms, written as POSCAR:
```
TeIr2Br
1.0
3.3626 0.0000 0.0000
0.0000 3.3626 0.0000
0.0000 0.0000 6.9305
Ir Te Br
2 1 1
Direct
0.0000 0.0000 0.0484
0.0000 0.0000 0.4516
0.5000 0.5000 0.2500
0.5000 0.5000 0.7500
```

***

[11]
A plane-wave DFT calculation with GGA-PBE was carried out for TbPm4Pr after structural relaxation.

Cell and atoms, written as POSCAR:
```
TbPm4Pr
1.0
-4.3697 3.2240 -3.9232
-6.3147 -2.1845 -0.4817
-4.9861 3.5368 2.7403
Pr Tb Pm
1 1 4
Direct
0.2500 0.2500 0.2500
0.0000 0.0000 0.0000
0.6256 0.6256 0.1231
0.6256 0.1231 0.6256
0.6256 0.6256 0.6256
0.1231 0.6256 0.6256
```

## Properties
Formation enthalpy at 0 K ... 256.0 meV per atom

***

[12]
A plane-wave DFT calculation with GGA-PBE was carried out for SrLi2ZnHg after structural relaxation.

Cell and atoms, written as POSCAR:
```
SrLi2ZnHg
1.0
-3.1630 -2.6283 3.0461
3.9481 -2.7734 1.7066
0.7612 3.3474 3.6787
Sr Zn Hg Li
1 1 1 2
Direct
0.5000 0.5000 0.5000
0.0000 0.0000 0.5000
0.0000 0.0000 0.0000
0.0000 0.5000 0.0000
0.5000 0.0000 0.0000
```

## Properties
Formation enthalpy at 0 K ... -93.3 meV per atom

***

[13]
A plane-wave DFT calculation with GGA-PBE was carried out for Cs2Tl5Pb after structural relaxation.

Cell and atoms, written as POSCAR:
```
Cs2Tl5Pb
1.0
-2.0646 -4.9268 2.2168
4.3945 -0.1510 3.7572
-6.0788 7.2696 2.9506
Cs Tl Pb
2 5 1
Direct
0.7542 0.7542 0.5084
0.2458 0.2458 0.4916
0.5000 0.5000 0.0000
0.9033 0.4033 0.8066
0.4033 0.9033 0.8066
0.0967 0.5967 0.1934
0.5967 0.0967 0.1934
0.0000 0.0000 0.0000
```

## Properties
Formation enthalpy at 0 K ... -78.8 meV per atom

***

[14]
A plane-wave DFT calculation with GGA-PBE was carried out for NaLiVBr2 after structural relaxation.

Cell and atoms, written as POSCAR:
```
NaLiVBr2
1.0
-1.5585 3.9349 3.0494
-4.5045 0.3811 -2.7940
-2.2874 -3.4041 3.2235
Na Li Br V
1 1 2 1
Direct
0.5000 0.5000 0.5000
0.0000 0.5000 0.0000
0.0000 0.0000 0.5000
0.5000 0.0000 0.0000
0.0000 0.0000 0.0000
```

***

Number 1: VASP energy -9.34 eV/atom. Number 2: VASP energy -2.79 eV/atom. Number 3: VASP energy -10.11 eV/atom. Number 4: VASP energy -4.47 eV/atom. Number 5: VASP energy -8.60 eV/atom. Number 6: VASP energy -5.20 eV/atom. Number 7: VASP energy -3.51 eV/atom. Number 8: VASP energy -4.54 eV/atom. Number 9: VASP energy -9.53 eV/atom. Number 10: VASP energy -4.82 eV/atom. Number 11: VASP energy -4.48 eV/atom. Number 12: VASP energy -1.51 eV/atom. Number 13: VASP energy -2.23 eV/atom. Number 14: VASP energy -3.35 eV/atom.